! BaAl2Se (PBE, optimized geometry); values from VASP
&SYSTEM
  ibrav = 0, nat = 8, ntyp = 3
/
ATOMIC_SPECIES
Ba 137.33 Ba.upf
Se 78.96 Se.upf
Al 26.98 Al.upf
ATOMIC_POSITIONS angstrom
Ba 0.000 0.000 0.000
Se -0.166 -8.941 3.715
Ba -1.313 -9.338 -2.201
Al -0.770 -5.891 -2.173
Al 0.308 -6.252 3.078
Se 0.555 -6.007 0.296
Al -1.071 -14.880 0.842
Al -1.425 -9.536 1.281
CELL_PARAMETERS angstrom
-0.593 -6.404 -5.620
1.702 -5.609 6.212
-2.588 -6.266 0.923
! DFT total energy	-3.479	eV per atom
! V	117.3	Å³/f.u.
! formation energy from raw total energies	-0.26	eV/atom
! space group	I-42d (122)